No. 1
{"formula": "Tb5ZnRh6", "functional": "GGA-PBE", "state": "relaxed", "vol_a3_per_cell": 230.7, "lattice": [[7.488, -3.430, 0.000], [7.488, 3.430, 0.000], [-1.485, 0.000, 4.491]], "species": ["Tb", "Tb", "Tb", "Tb", "Tb", "Zn", "Rh", "Rh", "Rh", "Rh", "Rh", "Rh"], "fractional_positions": [[0.000, 0.000, 0.000], [0.173, 0.173, 0.673], [0.349, 0.349, 0.349], [0.651, 0.651, 0.651], [0.827, 0.827, 0.327], [0.500, 0.500, 0.000], [0.087, 0.585, 0.836], [0.240, 0.760, 0.500], [0.415, 0.913, 0.164], [0.585, 0.087, 0.836], [0.760, 0.240, 0.500], [0.913, 0.415, 0.164]]}

***

No. 2
{"formula": "Tb4ZnRh5", "functional": "GGA-PBE", "state": "relaxed", "vol_a3_per_cell": 190.1, "lattice": [[3.396, 0.000, 0.000], [0.000, 3.396, 0.000], [0.000, 0.000, 16.486]], "species": ["Tb", "Tb", "Tb", "Tb", "Zn", "Rh", "Rh", "Rh", "Rh", "Rh"], "fractional_positions": [[0.000, 0.000, 0.105], [0.000, 0.000, 0.316], [0.000, 0.000, 0.684], [0.000, 0.000, 0.895], [0.000, 0.000, 0.500], [0.500, 0.500, 0.000], [0.500, 0.500, 0.209], [0.500, 0.500, 0.416], [0.500, 0.500, 0.584], [0.500, 0.500, 0.791]]}

***

No. 3
{"formula": "Tb3Zn8Rh", "functional": "GGA-PBE", "state": "relaxed", "vol_a3_per_cell": 215.9, "lattice": [[2.646, 1.528, 8.902], [-2.646, 1.528, 8.902], [0.000, -3.055, 8.902]], "species": ["Tb", "Tb", "Tb", "Zn", "Zn", "Zn", "Zn", "Zn", "Zn", "Zn", "Zn", "Rh"], "fractional_positions": [[0.000, 0.000, 0.000], [0.126, 0.126, 0.126], [0.516, 0.516, 0.516], [0.061, 0.567, 0.567], [0.071, 0.071, 0.569], [0.071, 0.569, 0.071], [0.316, 0.316, 0.316], [0.567, 0.061, 0.567], [0.567, 0.567, 0.061], [0.569, 0.071, 0.071], [0.819, 0.819, 0.819], [0.622, 0.622, 0.622]]}

***

No. 4
{"formula": "TbZn2Rh3", "functional": "GGA-PBE", "state": "relaxed", "vol_a3_per_cell": 190.2, "lattice": [[4.457, 0.000, 0.000], [-2.229, 3.860, 0.000], [0.000, 0.000, 11.057]], "species": ["Tb", "Tb", "Zn", "Zn", "Zn", "Zn", "Rh", "Rh", "Rh", "Rh", "Rh", "Rh"], "fractional_positions": [[0.333, 0.667, 0.174], [0.667, 0.333, 0.826], [0.000, 0.000, 0.000], [0.000, 0.000, 0.500], [0.333, 0.667, 0.660], [0.667, 0.333, 0.340], [0.000, 0.000, 0.267], [0.000, 0.000, 0.733], [0.333, 0.667, 0.427], [0.333, 0.667, 0.917], [0.667, 0.333, 0.083], [0.667, 0.333, 0.573]]}

***

No. 5
{"formula": "TbZn4Rh", "functional": "GGA-PBE", "state": "relaxed", "vol_a3_per_cell": 96.0, "lattice": [[0.000, 3.634, 3.634], [3.634, 0.000, 3.634], [3.634, 3.634, 0.000]], "species": ["Tb", "Zn", "Zn", "Zn", "Zn", "Rh"], "fractional_positions": [[0.000, 0.000, 0.000], [0.129, 0.624, 0.624], [0.624, 0.129, 0.624], [0.624, 0.624, 0.129], [0.624, 0.624, 0.624], [0.250, 0.250, 0.250]]}

***

No. 6
{"formula": "Tb3Zn2Rh6", "functional": "GGA-PBE", "state": "relaxed", "vol_a3_per_cell": 408.3, "lattice": [[-4.673, 4.673, 4.673], [4.673, -4.673, 4.673], [4.673, 4.673, -4.673]], "species": ["Tb", "Tb", "Tb", "Tb", "Tb", "Tb", "Zn", "Zn", "Zn", "Zn", "Rh", "Rh", "Rh", "Rh", "Rh", "Rh", "Rh", "Rh", "Rh", "Rh", "Rh", "Rh"], "fractional_positions": [[0.000, 0.292, 0.292], [0.000, 0.708, 0.708], [0.292, 0.000, 0.292], [0.292, 0.292, 0.000], [0.708, 0.000, 0.708], [0.708, 0.708, 0.000], [0.000, 0.000, 0.500], [0.000, 0.500, 0.000], [0.500, 0.000, 0.000], [0.500, 0.500, 0.500], [0.000, 0.344, 0.656], [0.000, 0.656, 0.344], [0.312, 0.656, 0.656], [0.344, 0.000, 0.656], [0.344, 0.344, 0.688], [0.344, 0.656, 0.000], [0.344, 0.688, 0.344], [0.656, 0.000, 0.344], [0.656, 0.312, 0.656], [0.656, 0.344, 0.000], [0.656, 0.656, 0.312], [0.688, 0.344, 0.344]]}

***

No. 7
{"formula": "Tb3Zn2Rh", "functional": "GGA-PBE", "state": "relaxed", "e_above_lowest_polymorph_mev_per_atom": 0.0, "vol_a3_per_cell": 131.8, "lattice": [[4.979, 0.000, 0.000], [-2.490, 4.312, 0.000], [0.000, 0.000, 6.140]], "species": ["Tb", "Tb", "Tb", "Zn", "Zn", "Rh"], "fractional_positions": [[0.000, 0.000, 0.000], [0.333, 0.667, 0.654], [0.667, 0.333, 0.346], [0.333, 0.667, 0.149], [0.667, 0.333, 0.851], [0.000, 0.000, 0.500]]}

***

No. 8
{"formula": "Tb8Zn2Rh", "functional": "GGA-PBE", "state": "relaxed", "vol_a3_per_cell": 293.6, "lattice": [[8.776, -2.558, 0.000], [8.776, 2.558, 0.000], [-1.535, 0.000, 6.538]], "species": ["Tb", "Tb", "Tb", "Tb", "Tb", "Tb", "Tb", "Tb", "Zn", "Zn", "Rh"], "fractional_positions": [[0.028, 0.028, 0.280], [0.201, 0.201, 0.818], [0.343, 0.343, 0.537], [0.411, 0.411, 0.061], [0.589, 0.589, 0.939], [0.657, 0.657, 0.463], [0.799, 0.799, 0.182], [0.972, 0.972, 0.720], [0.192, 0.192, 0.237], [0.808, 0.808, 0.763], [0.500, 0.500, 0.500]]}

***

Q: Which energy values were calculated for the entries above? A: -77.8, -63.9, -35.6, -65.0, -19.8, -133.6, -26.9, -49.8, in eV/cell.